(1)
10
Lattice="7.361 0.000 0.000 0.000 7.361 0.000 0.000 0.000 5.674" Properties=species:S:1:pos:R:3 comment="LaHg2Cl2 PBE optimized geometry" crystal_system=tetragonal formation_energy_uncorrected_kj_per_mol_atoms=-105.3 spacegroup="P4/mbm (127)" pbc="T T T"
La 0.000 0.000 0.000
La 3.681 3.681 0.000
Hg 1.355 2.325 2.837
Hg 2.325 6.006 2.837
Hg 5.036 1.355 2.837
Hg 6.006 5.036 2.837
Cl 1.145 4.826 0.000
Cl 2.535 1.145 0.000
Cl 4.826 6.216 0.000
Cl 6.216 2.535 0.000

(2)
4
Lattice="-1.786 2.378 7.594 1.786 -2.378 7.594 1.786 2.378 -7.594" Properties=species:S:1:pos:R:3 comment="LaHgCl2 PBE optimized geometry" polymorph_energy_ev_per_atom=0.0899 crystal_system=orthorhombic formation_energy_uncorrected_kj_per_mol_atoms=-140.6 spacegroup="Imm2 (44)" pbc="T T T"
La 0.000 0.000 0.000
Hg 0.000 2.378 4.618
Cl 1.786 0.000 2.226
Cl 0.000 0.000 7.204

(3)
7
Lattice="6.095 0.000 0.000 0.000 6.095 0.000 0.000 0.000 6.095" Properties=species:S:1:pos:R:3 comment="La3HgCl3 PBE optimized geometry" crystal_system=cubic formation_energy_uncorrected_kj_per_mol_atoms=-144.4 spacegroup="Pm-3m (221)" pbc="T T T"
La 0.000 0.000 3.047
La 0.000 3.047 0.000
La 3.047 0.000 0.000
Hg 0.000 0.000 0.000
Cl 0.000 3.047 3.047
Cl 3.047 0.000 3.047
Cl 3.047 3.047 0.000